1.
Here is a geometry-optimized KTlFe2 structure from Alexandria. Energies are from PBE-GGA.

a b c (Å): 4.9497 4.9497 4.9497
angles (deg): 119.95 119.95 90.09
Closest atoms and distances in Å follow each position.
Fractional coordinates of all 4 atoms:
K  0.0000  0.0000  0.0000  4 Tl 3.03, 4 Fe 3.03
Tl  0.7500  0.2500  0.5000  4 Fe 3.03, 4 K 3.03
Fe  0.2500  0.7500  0.5000  4 Fe 3.03, 4 K 3.03
Fe  0.5000  0.5000  0.0000  4 Tl 3.03, 4 Fe 3.03

Space-group type: I-4m2
Total energy (eV per atom): -4.059
Excess energy over the best structure of this formula in the dataset (meV per atom): 554
Size of the total moment (μB per atom): 1.410

***

2.
Here is a geometry-optimized KTlFe4 structure from Alexandria. Energies are from PBE-GGA.

a b c (Å): 5.2313 5.2313 5.2313
angles (deg): 60.00 60.00 60.00
Closest atoms and distances in Å follow each position.
Fractional coordinates of all 6 atoms:
K  0.0000  0.0000  0.0000  12 Fe 3.07, 4 Tl 3.20
Tl  0.7500  0.7500  0.7500  12 Fe 3.07, 4 K 3.20
Fe  0.3743  0.3743  0.3743  6 Fe 2.60-2.63
Fe  0.3743  0.3743  0.8772  6 Fe 2.60-2.63
Fe  0.3743  0.8772  0.3743  6 Fe 2.60-2.63
Fe  0.8772  0.3743  0.3743  6 Fe 2.60-2.63

Space-group type: F-43m
Total energy (eV per atom): -5.525
Size of the total moment (μB per atom): 1.701